[1]
Here is Pr6GeRu2Br3 after structural relaxation from Alexandria. Energies are from PBE.

Output
The size of the total moment is 0.0 μB/f.u. The uncorrected formation energy comes out at -881 meV/atom.

Unit cell a=7.318 b=12.696 c=8.133 alpha=90.00 beta=107.60 gamma=90.00
Space group C2/m (No. 12)
Symmetry-distinct sites (fractional):
Pr  0.215  0.000  0.200 [4 per cell]
Pr  0.241  0.324  0.200 [8 per cell]
Ge  0.000  0.500  0.000 [2 per cell]
Ru  0.000  0.167  0.000 [4 per cell]
Br  0.000  0.000  0.500 [2 per cell]
Br  0.000  0.336  0.500 [4 per cell]


[2]
Here is Pr4Ge2SBr after structural relaxation from Alexandria. Energies are from PBE.

Output
The size of the total moment is 0.0 μB/f.u. The uncorrected formation energy comes out at -1299 meV/atom.

Unit cell a=7.410 b=4.310 c=7.483 alpha=90.00 beta=109.50 gamma=90.00
Space group P2/m (No. 10)
Symmetry-distinct sites (fractional):
Pr  0.233  0.000  0.234 [2 per cell]
Pr  0.241  0.500  0.757 [2 per cell]
Ge  0.000  0.000  0.500 [1 per cell]
Ge  0.000  0.500  0.000 [1 per cell]
S  0.500  0.000  0.000 [1 per cell]
Br  0.500  0.500  0.500 [1 per cell]


[3]
Here is Pr8Ge3S4Br after structural relaxation from Alexandria. Energies are from PBE.

Output
The size of the total moment is 0.0 μB/f.u. The uncorrected formation energy comes out at -1522 meV/atom.

Unit cell a=8.4972 b=8.4972 c=20.5826 alpha=90.00 beta=90.00 gamma=120.00
Space group R-3m (No. 166, hexagonal axes)
Symmetry-distinct sites (fractional):
Pr  0.0000  0.0000  0.2493 [6 per cell]
Pr  0.0134  0.5067  0.2474 [18 per cell]
Ge  0.0000  0.5000  0.0000 [9 per cell]
S  0.0000  0.0000  0.5000 [3 per cell]
S  0.0000  0.5000  0.5000 [9 per cell]
Br  0.0000  0.0000  0.0000 [3 per cell]


[4]
Here is Pr6Ge2SBr3 after structural relaxation from Alexandria. Energies are from PBE.

Output
The size of the total moment is 0.0 μB/f.u. The uncorrected formation energy comes out at -1330 meV/atom.

Unit cell a=7.351 b=12.741 c=7.836 alpha=90.00 beta=108.28 gamma=90.00
Space group C2/m (No. 12)
Symmetry-distinct sites (fractional):
Pr  0.232  0.163  0.208 [8 per cell]
Pr  0.245  0.500  0.209 [4 per cell]
Ge  0.000  0.334  0.000 [4 per cell]
S  0.000  0.000  0.000 [2 per cell]
Br  0.000  0.172  0.500 [4 per cell]
Br  0.000  0.500  0.500 [2 per cell]